#P
Hf2TeH: relaxed, GGA-PBE.

It has space group I-42d (No. 122), with a = 6.743 Å, b = 6.743 Å, c = 6.139 Å, α = 90.00°, β = 90.00° and γ = 90.00°. The distinct sites, in fractional coordinates, are Hf at (0.144, 0.250, 0.125), Te at (0.000, 0.000, 0.500) and H at (0.000, 0.000, 0.000).

---

#Q
Hf2TeH: relaxed, GGA-PBE.

It has space group R-3m (No. 166, hexagonal axes), with a = 3.4657 Å, b = 3.4657 Å, c = 23.7537 Å, α = 90.00°, β = 90.00° and γ = 120.00°. The distinct sites, in fractional coordinates, are Hf at (0.0000, 0.0000, 0.0755), Te at (0.0000, 0.0000, 0.5000) and H at (0.0000, 0.0000, 0.0000).

---

#R
Hf2TeH: relaxed, GGA-PBE.

It has space group Pmn2_1 (No. 31), with a = 3.681 Å, b = 10.966 Å, c = 3.772 Å, α = 90.00°, β = 90.00° and γ = 90.00°. The distinct sites, in fractional coordinates, are Hf at (0.000, 0.078, 0.000), Hf at (0.000, 0.762, 0.004), Te at (0.000, 0.358, 0.002) and H at (0.000, 0.919, 0.735).

---

#S
Hf2TeH: relaxed, GGA-PBE.

It has space group Fm-3m (No. 225), with a = 6.669 Å, b = 6.669 Å, c = 6.669 Å, α = 90.00°, β = 90.00° and γ = 90.00°. The distinct sites, in fractional coordinates, are Hf at (0.250, 0.250, 0.250), Te at (0.000, 0.000, 0.000) and H at (0.000, 0.000, 0.500).

---

Most stable structure: #R

---

#P
HfTe2H2: relaxed, GGA-PBE.

It has space group C2/m (No. 12), with a = 7.042 Å, b = 11.860 Å, c = 5.995 Å, α = 90.00°, β = 111.04° and γ = 90.00°. The distinct sites, in fractional coordinates, are Hf at (0.000, 0.118, 0.000), Te at (0.054, 0.327, 0.759), H at (0.123, 0.000, 0.246) and H at (0.172, 0.000, 0.932).

---

#Q
HfTe2H2: relaxed, GGA-PBE.

It has space group C2/m (No. 12), with a = 11.739 Å, b = 3.556 Å, c = 10.904 Å, α = 90.00°, β = 114.46° and γ = 90.00°. The distinct sites, in fractional coordinates, are Hf at (0.156, 0.000, 0.056), Te at (0.017, 0.500, 0.165), Te at (0.184, 0.500, 0.653), H at (0.223, 0.000, 0.614) and H at (0.240, 0.000, 0.925).

---

Most stable structure: #Q